No. 1
The following is a PBE-GGA calculation of a geometry-optimized InMo2PN structure, from Alexandria.

Values from the calculation:
Spin magnetization   0.00 μB per cell
Fermi-level density of states   3.9 states/eV/f.u.
Formation energy without anion corrections   0.45 eV/atom

Unit cell a=4.116 b=4.116 c=4.539 alpha=90.00 beta=90.00 gamma=90.00
Atoms (fractional coordinates):
In1 0.000 0.000 0.000
Mo1 0.000 0.500 0.500
Mo2 0.500 0.000 0.500
P1 0.500 0.500 0.000
N1 0.500 0.500 0.500



No. 2
The following is a PBE-GGA calculation of a geometry-optimized In2MoPbN structure, from Alexandria.

Values from the calculation:
Spin magnetization   0.99 μB per cell
Fermi-level density of states   2.7 states/eV/f.u.
Formation energy without anion corrections   0.49 eV/atom

Unit cell a=5.234 b=5.234 c=3.959 alpha=90.00 beta=90.00 gamma=90.00
Atoms (fractional coordinates):
In1 0.000 0.500 0.000
In2 0.500 0.000 0.000
Mo1 0.000 0.000 0.500
Pb1 0.500 0.500 0.500
N1 0.000 0.000 0.000



No. 3
The following is a PBE-GGA calculation of a geometry-optimized InMoPbN2 structure, from Alexandria.

Values from the calculation:
Spin magnetization   0.00 μB per cell
Fermi-level density of states   6.5 states/eV/f.u.
Formation energy without anion corrections   2.46 eV/atom

Unit cell a=4.208 b=4.208 c=5.841 alpha=90.00 beta=90.00 gamma=90.00
Atoms (fractional coordinates):
In1 0.000 0.000 0.000
Mo1 0.500 0.500 0.000
Pb1 0.000 0.000 0.500
N1 0.000 0.500 0.500
N2 0.500 0.000 0.500



No. 4
The following is a PBE-GGA calculation of a geometry-optimized InMoSN2 structure, from Alexandria.

Values from the calculation:
Spin magnetization   0.00 μB per cell
Energy relative to the lowest polymorph listed for this composition   0.000 eV/atom
Fermi-level density of states   1.9 states/eV/f.u.
Formation energy without anion corrections   0.23 eV/atom

Unit cell a=3.943 b=3.943 c=5.087 alpha=90.00 beta=90.00 gamma=90.00
Atoms (fractional coordinates):
In1 0.000 0.000 0.000
Mo1 0.500 0.500 0.500
S1 0.500 0.500 0.000
N1 0.000 0.500 0.500
N2 0.500 0.000 0.500



No. 5
The following is a PBE-GGA calculation of a geometry-optimized InMoSN2 structure, from Alexandria.

Values from the calculation:
Spin magnetization   1.08 μB per cell
Energy relative to the lowest polymorph listed for this composition   1.472 eV/atom
Fermi-level density of states   2.4 states/eV/f.u.
Formation energy without anion corrections   1.70 eV/atom

Unit cell a=4.156 b=4.156 c=5.188 alpha=90.00 beta=90.00 gamma=90.00
Atoms (fractional coordinates):
In1 0.000 0.000 0.000
Mo1 0.500 0.500 0.500
S1 0.000 0.000 0.500
N1 0.000 0.500 0.000
N2 0.500 0.000 0.000



No. 6
The following is a PBE-GGA calculation of a geometry-optimized ScInMoN2 structure, from Alexandria.

Values from the calculation:
Spin magnetization   0.20 μB per cell
Fermi-level density of states   3.9 states/eV/f.u.
Formation energy without anion corrections   1.30 eV/atom

Unit cell a=4.126 b=4.126 c=5.315 alpha=90.00 beta=90.00 gamma=90.00
Atoms (fractional coordinates):
Sc1 0.000 0.000 0.000
In1 0.500 0.500 0.500
Mo1 0.000 0.000 0.500
N1 0.000 0.500 0.000
N2 0.500 0.000 0.000



No. 7
The following is a PBE-GGA calculation of a geometry-optimized Sc2InMoN structure, from Alexandria.

Values from the calculation:
Spin magnetization   0.00 μB per cell
Fermi-level density of states   2.6 states/eV/f.u.
Formation energy without anion corrections   -0.76 eV/atom

Unit cell a=4.546 b=4.546 c=4.065 alpha=90.00 beta=90.00 gamma=90.00
Atoms (fractional coordinates):
Sc1 0.000 0.500 0.000
Sc2 0.500 0.000 0.000
In1 0.000 0.000 0.500
Mo1 0.500 0.500 0.500
N1 0.500 0.500 0.000



No. 8
The following is a PBE-GGA calculation of a geometry-optimized InMoSeN2 structure, from Alexandria.

Values from the calculation:
Spin magnetization   6.53 μB per cell
Energy relative to the lowest polymorph listed for this composition   1.583 eV/atom
Fermi-level density of states   5.4 states/eV/f.u.
Formation energy without anion corrections   1.87 eV/atom

Unit cell a=4.223 b=4.223 c=5.554 alpha=90.00 beta=90.00 gamma=90.00
Atoms (fractional coordinates):
In1 0.000 0.000 0.000
Mo1 0.500 0.500 0.500
Se1 0.000 0.000 0.500
N1 0.000 0.500 0.000
N2 0.500 0.000 0.000



No. 9
The following is a PBE-GGA calculation of a geometry-optimized InMoSeN2 structure, from Alexandria.

Values from the calculation:
Spin magnetization   0.00 μB per cell
Energy relative to the lowest polymorph listed for this composition   0.000 eV/atom
Fermi-level density of states   1.6 states/eV/f.u.
Formation energy without anion corrections   0.28 eV/atom

Unit cell a=3.979 b=3.979 c=5.341 alpha=90.00 beta=90.00 gamma=90.00
Atoms (fractional coordinates):
In1 0.000 0.000 0.000
Mo1 0.500 0.500 0.500
Se1 0.500 0.500 0.000
N1 0.000 0.500 0.500
N2 0.500 0.000 0.500



No. 10
The following is a PBE-GGA calculation of a geometry-optimized InTcMo2N structure, from Alexandria.

Values from the calculation:
Spin magnetization   0.00 μB per cell
Fermi-level density of states   4.2 states/eV/f.u.
Formation energy without anion corrections   -0.01 eV/atom

Unit cell a=4.169 b=4.169 c=4.173 alpha=90.00 beta=90.00 gamma=90.00
Atoms (fractional coordinates):
In1 0.000 0.000 0.000
Tc1 0.500 0.500 0.000
Mo1 0.000 0.500 0.500
Mo2 0.500 0.000 0.500
N1 0.500 0.500 0.500



No. 11
The following is a PBE-GGA calculation of a geometry-optimized VIn2MoN structure, from Alexandria.

Values from the calculation:
Spin magnetization   0.00 μB per cell
Fermi-level density of states   5.8 states/eV/f.u.
Formation energy without anion corrections   0.44 eV/atom

Unit cell a=4.703 b=4.703 c=3.737 alpha=90.00 beta=90.00 gamma=90.00
Atoms (fractional coordinates):
V1 0.000 0.000 0.000
In1 0.000 0.500 0.500
In2 0.500 0.000 0.500
Mo1 0.500 0.500 0.000
N1 0.000 0.000 0.500



No. 12
The following is a PBE-GGA calculation of a geometry-optimized YIn2MoN structure, from Alexandria.

Values from the calculation:
Spin magnetization   0.00 μB per cell
Fermi-level density of states   5.7 states/eV/f.u.
Formation energy without anion corrections   0.25 eV/atom

Unit cell a=5.495 b=5.495 c=3.839 alpha=90.00 beta=90.00 gamma=90.00
Atoms (fractional coordinates):
Y1 0.000 0.000 0.000
In1 0.000 0.500 0.500
In2 0.500 0.000 0.500
Mo1 0.500 0.500 0.500
N1 0.500 0.500 0.000